This record from the Alexandria database describes an optimized crystal structure of NaCaMn2Tc. The functional is GGA-PBEsol.

Structure (POSCAR):
```
NaCaMn2Tc
1.0
4.645 0.000 0.000
0.000 4.645 0.000
0.000 0.000 5.424
Na Ca Mn Tc
1 1 2 1
Direct
0.000 0.000 0.000 Na
0.500 0.500 0.000 Ca
0.000 0.500 0.500 Mn
0.500 0.000 0.500 Mn
0.500 0.500 0.500 Tc
```

Results
calculated total energy: -0.217 Ha/atom
N(E_F): 0.819 states/eV per atom
size of the total moment: 6.381 μB/cell
space-group type: P4/mmm (123)